First-principles (PBE-GGA) data for a geometry-optimized Ba2ZnSnO5 structure, as listed in the Alexandria database.

Lattice parameters (Å, degrees): 3.4532 7.9825 10.9994 90.00 90.00 102.49
With the nearest neighbours (Å) after each atom.
Atoms (fractional coordinates):
O  0.6569  0.3138  0.5017  1 Sn 2.03
O  0.3069  0.6139  0.3909  1 Zn 2.20, 2 Sn 2.24
O  0.2847  0.5693  0.6418  2 Sn 2.21
O  0.7153  0.4307  0.1418  2 Sn 2.21
O  0.3431  0.6862  0.0017  1 Sn 2.03
O  0.9227  0.8454  0.5352  2 Zn 2.00, 1 Sn 2.13
O  0.4975  0.9949  0.2930  1 Zn 1.91
O  0.0773  0.1546  0.0352  2 Zn 2.00, 1 Sn 2.13
O  0.6931  0.3861  0.8909  1 Zn 2.20, 2 Sn 2.24
O  0.5025  0.0051  0.7930  1 Zn 1.91
Ba  0.8881  0.7762  0.1889  5 O 2.68-2.78
Ba  0.8736  0.7472  0.8073  7 O 2.65-2.96
Ba  0.1264  0.2528  0.3073  7 O 2.65-2.96
Ba  0.1119  0.2238  0.6889  5 O 2.68-2.78
Zn  0.5579  0.1158  0.9481  3 O 1.91-2.00
Zn  0.4421  0.8842  0.4481  3 O 1.91-2.00
Sn  0.2133  0.4265  0.0170  6 O 2.03-2.24
Sn  0.7867  0.5735  0.5170  6 O 2.03-2.24

Values from the calculation:
- SG = Cmc2_1 (36)
- raw formation energy (eV per atom) = -2.025
- total DFT energy (no corrections) (eV/cell) = -104.282
- magnetization (μB per atom) = 0.000
- Fermi-level density of states (states/eV per cell) = 0.00

First-principles (PBE-GGA) data for a geometry-optimized Ba3Zn2SnO8 structure, as listed in the Alexandria database.

Lattice parameters (Å, degrees): 5.8952 5.8952 7.6794 90.00 90.00 120.00
With the nearest neighbours (Å) after each atom.
Atoms (fractional coordinates):
Zn  0.3333  0.6667  0.2193  4 O 1.85-1.97
Zn  0.6667  0.3333  0.7807  4 O 1.85-1.97
O  0.6667  0.3333  0.0223  1 Zn 1.85
O  0.1609  0.3217  0.3329  1 Zn 1.97, 1 Sn 2.08
O  0.3217  0.1609  0.6671  1 Zn 1.97, 1 Sn 2.08
O  0.8391  0.1609  0.6671  1 Zn 1.97, 1 Sn 2.08
O  0.3333  0.6667  0.9777  1 Zn 1.85
O  0.6783  0.8391  0.3329  1 Zn 1.97, 1 Sn 2.08
O  0.8391  0.6783  0.6671  1 Zn 1.97, 1 Sn 2.08
O  0.1609  0.8391  0.3329  1 Zn 1.97, 1 Sn 2.08
Ba  0.6667  0.3333  0.3521  1 O 2.53
Ba  0.3333  0.6667  0.6479  1 O 2.53
Ba  0.0000  0.0000  0.0000  6 O 3.04
Sn  0.0000  0.0000  0.5000  6 O 2.08

Values from the calculation:
- SG = P-3m1 (164)
- raw formation energy (eV per atom) = -1.798
- total DFT energy (no corrections) (eV/cell) = -77.152
- magnetization (μB per atom) = 0.145
- Fermi-level density of states (states/eV per cell) = 12.45

First-principles (PBE-GGA) data for a geometry-optimized BaZn2Sn2O7 structure, as listed in the Alexandria database.

Lattice parameters (Å, degrees): 4.2224 4.2233 9.2537 103.19 103.19 90.00
With the nearest neighbours (Å) after each atom.
Atoms (fractional coordinates):
Zn  0.2501  0.7500  0.5001  6 O 2.13-2.26
Zn  0.7499  0.2499  0.4999  6 O 2.13-2.26
O  0.2653  0.2653  0.5306  1 Sn 2.07, 4 Zn 2.13
O  0.3788  0.8788  0.7577  2 Sn 2.11, 1 Zn 2.26
O  0.7347  0.7346  0.4694  1 Sn 2.07, 4 Zn 2.13
O  0.5000  0.5000  0.0000  2 Sn 2.05
O  0.8789  0.3788  0.7577  2 Sn 2.11, 1 Zn 2.26
O  0.1211  0.6211  0.2423  2 Sn 2.11, 1 Zn 2.26
O  0.6212  0.1211  0.2423  2 Sn 2.11, 1 Zn 2.26
Sn  0.6168  0.6167  0.2335  6 O 2.05-2.11
Sn  0.3832  0.3832  0.7665  6 O 2.05-2.11
Ba  0.0000  0.0000  0.0000  12 O 2.99

Values from the calculation:
- SG = I4/mmm (139)
- raw formation energy (eV per atom) = -1.709
- total DFT energy (no corrections) (eV/cell) = -67.695
- magnetization (μB per atom) = 0.000

First-principles (PBE-GGA) data for a geometry-optimized Ba3ZrSn2O9 structure, as listed in the Alexandria database.

Lattice parameters (Å, degrees): 5.9516 5.9516 7.2913 90.00 90.00 120.00
With the nearest neighbours (Å) after each atom.
Atoms (fractional coordinates):
O  0.6649  0.8324  0.3320  1 Sn 2.09, 1 Zr 2.12
O  0.3351  0.1676  0.6680  1 Sn 2.09, 1 Zr 2.12
O  0.1676  0.3351  0.3320  1 Sn 2.09, 1 Zr 2.12
O  0.1676  0.8324  0.3320  1 Sn 2.09, 1 Zr 2.12
O  0.5000  0.0000  0.0000  2 Sn 2.10
O  0.5000  0.5000  0.0000  2 Sn 2.10
O  0.8324  0.1676  0.6680  1 Sn 2.09, 1 Zr 2.12
O  0.8324  0.6649  0.6680  1 Sn 2.09, 1 Zr 2.12
O  0.0000  0.5000  0.0000  2 Sn 2.10
Ba  0.3333  0.6667  0.6704  12 O 2.95-3.00
Ba  0.0000  0.0000  0.0000  12 O 2.97-2.98
Ba  0.6667  0.3333  0.3296  12 O 2.95-3.00
Sn  0.3333  0.6667  0.1667  6 O 2.09-2.10
Sn  0.6667  0.3333  0.8333  6 O 2.09-2.10
Zr  0.0000  0.0000  0.5000  6 O 2.12

Values from the calculation:
- SG = P-3m1 (164)
- raw formation energy (eV per atom) = -2.538
- total DFT energy (no corrections) (eV/cell) = -105.022
- magnetization (μB per atom) = 0.000
- Fermi-level density of states (states/eV per cell) = 0.00

Q: Which value of raw formation energy does entry 2 give?
A: -1.798 eV per atom